[1]
KPuBi2O8: relaxed, GGA-PBE.

a = 5.2793 Å, b = 5.2793 Å, c = 7.0522 Å
α = 90.00°, β = 90.00°, γ = 91.98°
Atoms (fractional coordinates):
K (0.0000, 0.0000, 0.0000)
Pu (0.0000, 0.0000, 0.5000)
Bi (0.5000, 0.5000, 0.2492)
Bi (0.5000, 0.5000, 0.7508)
O (0.1877, 0.1877, 0.3055)
O (0.1877, 0.1877, 0.6945)
O (0.2997, 0.7003, 0.5000)
O (0.3287, 0.6713, 0.0000)
O (0.6713, 0.3287, 0.0000)
O (0.7003, 0.2997, 0.5000)
O (0.8123, 0.8123, 0.3055)
O (0.8123, 0.8123, 0.6945)

Results
E_form (uncorrected), eV per atom: -1.51
Total energy, eV/atom: -6.7514

***

[2]
KRb2Bi3O8: relaxed, GGA-PBE.

a = 7.8584 Å, b = 7.8584 Å, c = 7.8584 Å
α = 53.13°, β = 53.13°, γ = 53.13°
Atoms (fractional coordinates):
K (0.0000, 0.0000, 0.0000)
Rb (0.3856, 0.3856, 0.3856)
Rb (0.7600, 0.7600, 0.7600)
Bi (0.3852, 0.3852, 0.8856)
Bi (0.3852, 0.8856, 0.3852)
Bi (0.8856, 0.3852, 0.3852)
O (0.1282, 0.1282, 0.5648)
O (0.1282, 0.5648, 0.1282)
O (0.1589, 0.1589, 0.1589)
O (0.2073, 0.6432, 0.6432)
O (0.5648, 0.1282, 0.1282)
O (0.6112, 0.6112, 0.6112)
O (0.6432, 0.2073, 0.6432)
O (0.6432, 0.6432, 0.2073)

Results
E_form (uncorrected), eV per atom: -1.15
Total energy, eV/atom: -5.0305

***

[3]
K6Rb2BiO: relaxed, GGA-PBE.

a = 7.8578 Å, b = 7.8578 Å, c = 10.2640 Å
α = 112.38°, β = 112.38°, γ = 60.01°
Atoms (fractional coordinates):
K (0.2162, 0.2162, 0.6633)
K (0.2160, 0.7297, 0.6631)
K (0.2703, 0.7840, 0.3369)
K (0.7297, 0.2160, 0.6631)
K (0.7840, 0.2703, 0.3369)
K (0.7838, 0.7838, 0.3367)
Rb (0.1965, 0.1965, 0.0884)
Rb (0.8035, 0.8035, 0.9116)
Bi (0.5000, 0.5000, 0.0000)
O (0.0000, 0.0000, 0.5000)

Results
E_form (uncorrected), eV per atom: -0.39
Total energy, eV/atom: -2.1261

***

[4]
KRbBiO3: relaxed, GGA-PBE.

a = 7.3036 Å, b = 7.3036 Å, c = 6.2895 Å
α = 94.21°, β = 94.21°, γ = 126.82°
Atoms (fractional coordinates):
K (0.0805, 0.9195, 0.7500)
K (0.9195, 0.0805, 0.2500)
Rb (0.2570, 0.7430, 0.2500)
Rb (0.7430, 0.2570, 0.7500)
Bi (0.4407, 0.5593, 0.7500)
Bi (0.5593, 0.4407, 0.2500)
O (0.2622, 0.3307, 0.0077)
O (0.2793, 0.7207, 0.7500)
O (0.3307, 0.2622, 0.5077)
O (0.6693, 0.7378, 0.4923)
O (0.7207, 0.2793, 0.2500)
O (0.7378, 0.6693, 0.9923)

Results
E_form (uncorrected), eV per atom: -1.26
Total energy, eV/atom: -4.7282

***

[5]
KRe2BiO: relaxed, GGA-PBE.

a = 5.3095 Å, b = 5.3095 Å, c = 4.7089 Å
α = 90.00°, β = 90.00°, γ = 90.00°
Atoms (fractional coordinates):
K (0.0000, 0.0000, 0.0000)
Re (0.0000, 0.5000, 0.5000)
Re (0.5000, 0.0000, 0.5000)
Bi (0.5000, 0.5000, 0.5000)
O (0.5000, 0.5000, 0.0000)

Results
E_form (uncorrected), eV per atom: 1.91
Total energy, eV/atom: -5.0560

***

[6]
KReBi2O8: relaxed, GGA-PBE.

a = 5.0808 Å, b = 7.0461 Å, c = 5.1776 Å
α = 90.00°, β = 92.28°, γ = 90.00°
Atoms (fractional coordinates):
K (0.0000, 0.0000, 0.0000)
Re (0.0000, 0.5000, 0.0000)
Bi (0.5000, 0.2467, 0.5000)
Bi (0.5000, 0.7533, 0.5000)
O (0.1941, 0.3109, 0.1760)
O (0.1941, 0.6891, 0.1760)
O (0.2603, 0.5000, 0.7245)
O (0.3075, 0.0000, 0.6522)
O (0.6925, 0.0000, 0.3478)
O (0.7397, 0.5000, 0.2755)
O (0.8059, 0.3109, 0.8240)
O (0.8059, 0.6891, 0.8240)

Results
E_form (uncorrected), eV per atom: -1.19
Total energy, eV/atom: -6.2663

***

[7]
KRe2BiO8: relaxed, GGA-PBE.

a = 5.9389 Å, b = 5.9389 Å, c = 8.0975 Å
α = 90.00°, β = 90.00°, γ = 120.00°
Atoms (fractional coordinates):
K (0.0000, 0.0000, 0.0000)
Re (0.3333, 0.6667, 0.7855)
Re (0.6667, 0.3333, 0.2145)
Bi (0.0000, 0.0000, 0.5000)
O (0.1676, 0.3385, 0.7095)
O (0.1708, 0.8324, 0.7095)
O (0.3333, 0.6667, 0.0019)
O (0.3385, 0.1708, 0.2905)
O (0.6615, 0.8292, 0.7095)
O (0.6667, 0.3333, 0.9981)
O (0.8292, 0.1676, 0.2905)
O (0.8324, 0.6615, 0.2905)

Results
E_form (uncorrected), eV per atom: -1.50
Total energy, eV/atom: -7.2908

***

[8]
K2BiRhO6: relaxed, GGA-PBE.

a = 5.9389 Å, b = 5.9389 Å, c = 5.9351 Å
α = 119.95°, β = 119.95°, γ = 89.99°
Atoms (fractional coordinates):
K (0.2502, 0.7498, 0.0000)
K (0.7498, 0.2502, 0.0000)
Bi (0.0000, 0.0000, 0.5000)
Rh (0.5000, 0.5000, 0.5000)
O (0.2652, 0.7348, 0.5000)
O (0.2661, 0.2661, 0.5014)
O (0.2672, 0.2672, 0.0331)
O (0.7328, 0.7328, 0.9669)
O (0.7339, 0.7339, 0.4986)
O (0.7348, 0.2652, 0.5000)

Results
E_form (uncorrected), eV per atom: -0.91
Total energy, eV/atom: -5.2245